[1]
# Nb2HSe

A relaxed Nb2HSe crystal (GGA-PBE, Alexandria).

```
data_Nb2HSe
_space_group_name_H-M_alt 'P 1'
_space_group_IT_number 1
_space_group_name_Hall 'P 1'
_cell_length_a 4.343
_cell_length_b 4.343
_cell_length_c 4.343
_cell_angle_alpha 60.00
_cell_angle_beta 60.00
_cell_angle_gamma 60.00
loop_
_atom_site_label
_atom_site_type_symbol
_atom_site_fract_x
_atom_site_fract_y
_atom_site_fract_z
Nb1 Nb 0.250 0.250 0.250
Nb2 Nb 0.750 0.750 0.750
H1 H 0.000 0.000 0.000
Se1 Se 0.500 0.500 0.500
```

Results
Relative energy among the computed polymorphs (meV per atom): 213.4
Symmetry: Fm-3m



[2]
# Nb4HSe5

A relaxed Nb4HSe5 crystal (GGA-PBE, Alexandria).

```
data_Nb4HSe5
_space_group_name_H-M_alt 'P 1'
_space_group_IT_number 1
_space_group_name_Hall 'P 1'
_cell_length_a 8.053
_cell_length_b 8.053
_cell_length_c 7.346
_cell_angle_alpha 102.80
_cell_angle_beta 102.80
_cell_angle_gamma 23.92
loop_
_atom_site_label
_atom_site_type_symbol
_atom_site_fract_x
_atom_site_fract_y
_atom_site_fract_z
Nb1 Nb 0.003 0.003 0.287
Nb2 Nb 0.362 0.362 0.430
Nb3 Nb 0.638 0.638 0.570
Nb4 Nb 0.997 0.997 0.713
H1 H 0.500 0.500 0.500
Se1 Se 0.164 0.164 0.845
Se2 Se 0.176 0.176 0.326
Se3 Se 0.500 0.500 0.000
Se4 Se 0.824 0.824 0.674
Se5 Se 0.836 0.836 0.155
```

Results
Total DFT energy (no corrections) (eV for the cell shown): -67.55
Symmetry: C2/m



[3]
# NbSn2HSe

A relaxed NbSn2HSe crystal (GGA-PBE, Alexandria).

```
data_NbSn2HSe
_space_group_name_H-M_alt 'P 1'
_space_group_IT_number 1
_space_group_name_Hall 'P 1'
_cell_length_a 5.648
_cell_length_b 5.648
_cell_length_c 4.859
_cell_angle_alpha 90.00
_cell_angle_beta 90.00
_cell_angle_gamma 90.00
loop_
_atom_site_label
_atom_site_type_symbol
_atom_site_fract_x
_atom_site_fract_y
_atom_site_fract_z
Nb1 Nb 0.000 0.000 0.000
Sn1 Sn 0.000 0.500 0.500
Sn2 Sn 0.500 0.000 0.500
H1 H 0.500 0.500 0.000
Se1 Se 0.000 0.000 0.500
```

Results
Total DFT energy (no corrections) (eV for the cell shown): -19.06
Symmetry: P4/mmm



Size of the total moment for every record listed, in sequence, given in μB per formula unit: 0.0; 0.0; 2.6.